Density functional theory data (GGA-PBE) for a relaxed structure of Pr3AlZn4.

POSCAR file:
```
Pr3AlZn4
1.0
-2.4201 2.4844 8.5716
2.4201 -2.4844 8.5716
2.4201 2.4844 -8.5716
Pr Al Zn
3 1 4
Direct
0.0000 0.0000 0.0000 Pr
0.2937 0.7937 0.5000 Pr
0.7063 0.2063 0.5000 Pr
0.5000 0.5000 0.0000 Al
0.1148 0.3750 0.7399 Zn
0.3649 0.6250 0.7399 Zn
0.6351 0.3750 0.2601 Zn
0.8852 0.6250 0.2601 Zn
```

Values from the calculation:
* Fermi-level density of states: 4.52 states/eV/f.u.
* energy of formation: -0.139 eV/atom
* spin magnetization: 0.00 μB/cell


Density functional theory data (GGA-PBE) for a relaxed structure of Pr2AlZn6.

POSCAR file:
```
Pr2AlZn6
1.0
-2.0021 3.4951 7.1003
2.0021 -3.4951 7.1003
2.0021 3.4951 -7.1003
Pr Al Zn
2 1 6
Direct
0.1204 0.1204 0.0000 Pr
0.8796 0.8796 0.0000 Pr
0.5000 0.0000 0.5000 Al
0.1373 0.3167 0.8206 Zn
0.2660 0.5000 0.7660 Zn
0.4961 0.3167 0.1794 Zn
0.5039 0.6833 0.8206 Zn
0.7340 0.5000 0.2340 Zn
0.8627 0.6833 0.1794 Zn
```

Values from the calculation:
* distance to the lowest polymorph of the same formula: 249 meV/atom
* Fermi-level density of states: 3.12 states/eV/f.u.
* energy of formation: -0.068 eV/atom
* spin magnetization: 0.00 μB/cell


Density functional theory data (GGA-PBE) for a relaxed structure of PrAl3Zn3.

POSCAR file:
```
PrAl3Zn3
1.0
3.3289 1.9219 7.2350
-3.3289 1.9219 7.2350
0.0000 -3.8438 7.2350
Pr Al Zn
2 6 6
Direct
0.1687 0.1687 0.1687 Pr
0.8313 0.8313 0.8313 Pr
0.0873 0.5801 0.2133 Al
0.2133 0.0873 0.5801 Al
0.4199 0.7867 0.9127 Al
0.5801 0.2133 0.0873 Al
0.7867 0.9127 0.4199 Al
0.9127 0.4199 0.7867 Al
0.2208 0.6585 0.3954 Zn
0.3415 0.6046 0.7792 Zn
0.3954 0.2208 0.6585 Zn
0.6046 0.7792 0.3415 Zn
0.6585 0.3954 0.2208 Zn
0.7792 0.3415 0.6046 Zn
```

Values from the calculation:
* Fermi-level density of states: 2.34 states/eV/f.u.
* energy of formation: -0.093 eV/atom
* spin magnetization: 0.00 μB/cell


Please write out number 2 again, unchanged.
Density functional theory data (GGA-PBE) for a relaxed structure of Pr2AlZn6.

POSCAR file:
```
Pr2AlZn6
1.0
-2.0021 3.4951 7.1003
2.0021 -3.4951 7.1003
2.0021 3.4951 -7.1003
Pr Al Zn
2 1 6
Direct
0.1204 0.1204 0.0000 Pr
0.8796 0.8796 0.0000 Pr
0.5000 0.0000 0.5000 Al
0.1373 0.3167 0.8206 Zn
0.2660 0.5000 0.7660 Zn
0.4961 0.3167 0.1794 Zn
0.5039 0.6833 0.8206 Zn
0.7340 0.5000 0.2340 Zn
0.8627 0.6833 0.1794 Zn
```

Values from the calculation:
* distance to the lowest polymorph of the same formula: 249 meV/atom
* Fermi-level density of states: 3.12 states/eV/f.u.
* energy of formation: -0.068 eV/atom
* spin magnetization: 0.00 μB/cell


Q: energy of formation of number 3 (PrAl3Zn3)?
A: -0.093 eV/atom


Q: Number 2 is which compound?
A: Pr2AlZn6